Below is crystalline HoZrInRh at its relaxed geometry, with properties calculated at the PBE level.

a = 4.9568 Å, b = 4.9568 Å, c = 4.9568 Å
α = 60.00°, β = 60.00°, γ = 60.00°
With the nearest neighbours (Å) after each atom.
Sites, in units of the cell vectors:
Ho (0.0000, 0.0000, 0.0000)  4 In 3.04, 4 Rh 3.04
Zr (0.5000, 0.5000, 0.5000)  4 Rh 3.04, 4 In 3.04
In (0.2500, 0.2500, 0.2500)  4 Zr 3.04, 4 Ho 3.04
Rh (0.7500, 0.7500, 0.7500)  4 Zr 3.04, 4 Ho 3.04

## Properties
The calculation puts the spin magnetization at 0.0 Bohr magnetons per cell. Its uncorrected energy is -24.89 eV for the cell shown.

Below is crystalline Ho12In3Ru5 at its relaxed geometry, with properties calculated at the PBE level.

a = 14.5674 Å, b = 14.5674 Å, c = 14.5674 Å
α = 109.47°, β = 109.47°, γ = 109.47°
With the nearest neighbours (Å) after each atom.
Sites, in units of the cell vectors:
Ho (0.0292, 0.2055, 0.1186)  2 Ru 2.56-2.71
Ho (0.0292, 0.3237, 0.9106)  2 Ru 2.56-2.71
Ho (0.0869, 0.7055, 0.6763)  2 Ru 2.56-2.71
Ho (0.0869, 0.8814, 0.4106)  2 Ru 2.56-2.71
Ho (0.0894, 0.6186, 0.4131)  2 Ru 2.56-2.71
Ho (0.0894, 0.9708, 0.6763)  2 Ru 2.56-2.71
Ho (0.1186, 0.0292, 0.2055)  2 Ru 2.56-2.71
Ho (0.1186, 0.5894, 0.9131)  2 Ru 2.56-2.71
Ho (0.1763, 0.2055, 0.5869)  2 Ru 2.56-2.71
Ho (0.1763, 0.4708, 0.5894)  2 Ru 2.56-2.71
Ho (0.2055, 0.1186, 0.0292)  2 Ru 2.56-2.71
Ho (0.2055, 0.5869, 0.1763)  2 Ru 2.56-2.71
Ho (0.2945, 0.3237, 0.9131)  2 Ru 2.56-2.71
Ho (0.2945, 0.4708, 0.3814)  2 Ru 2.56-2.71
Ho (0.3237, 0.9106, 0.0292)  2 Ru 2.56-2.71
Ho (0.3237, 0.9131, 0.2945)  2 Ru 2.56-2.71
Ho (0.3814, 0.2945, 0.4708)  2 Ru 2.56-2.71
Ho (0.3814, 0.5869, 0.9106)  2 Ru 2.56-2.71
Ho (0.4106, 0.0869, 0.8814)  2 Ru 2.56-2.71
Ho (0.4106, 0.8237, 0.5292)  2 Ru 2.56-2.71
Ho (0.4131, 0.0894, 0.6186)  2 Ru 2.56-2.71
Ho (0.4131, 0.8237, 0.7945)  2 Ru 2.56-2.71
Ho (0.4708, 0.3814, 0.2945)  2 Ru 2.56-2.71
Ho (0.4708, 0.5894, 0.1763)  2 Ru 2.56-2.71
Ho (0.5292, 0.4106, 0.8237)  2 Ru 2.56-2.71
Ho (0.5292, 0.6186, 0.7055)  2 Ru 2.56-2.71
Ho (0.5869, 0.1763, 0.2055)  2 Ru 2.56-2.71
Ho (0.5869, 0.9106, 0.3814)  2 Ru 2.56-2.71
Ho (0.5894, 0.1763, 0.4708)  2 Ru 2.56-2.71
Ho (0.5894, 0.9131, 0.1186)  2 Ru 2.56-2.71
Ho (0.6186, 0.4131, 0.0894)  2 Ru 2.56-2.71
Ho (0.6186, 0.7055, 0.5292)  2 Ru 2.56-2.71
Ho (0.6763, 0.0869, 0.7055)  2 Ru 2.56-2.71
Ho (0.6763, 0.0894, 0.9708)  2 Ru 2.56-2.71
Ho (0.7055, 0.5292, 0.6186)  2 Ru 2.56-2.71
Ho (0.7055, 0.6763, 0.0869)  2 Ru 2.56-2.71
Ho (0.7945, 0.4131, 0.8237)  2 Ru 2.56-2.71
Ho (0.7945, 0.8814, 0.9708)  2 Ru 2.56-2.71
Ho (0.8237, 0.5292, 0.4106)  2 Ru 2.56-2.71
Ho (0.8237, 0.7945, 0.4131)  2 Ru 2.56-2.71
Ho (0.8814, 0.4106, 0.0869)  2 Ru 2.56-2.71
Ho (0.8814, 0.9708, 0.7945)  2 Ru 2.56-2.71
Ho (0.9106, 0.0292, 0.3237)  2 Ru 2.56-2.71
Ho (0.9106, 0.3814, 0.5869)  2 Ru 2.56-2.71
Ho (0.9131, 0.1186, 0.5894)  2 Ru 2.56-2.71
Ho (0.9131, 0.2945, 0.3237)  2 Ru 2.56-2.71
Ho (0.9708, 0.6763, 0.0894)  2 Ru 2.56-2.71
Ho (0.9708, 0.7945, 0.8814)  2 Ru 2.56-2.71
In (0.1250, 0.2500, 0.3750)  8 Ho 3.26-3.29
In (0.1250, 0.3750, 0.7500)  8 Ho 3.26-3.29
In (0.2500, 0.3750, 0.1250)  8 Ho 3.26-3.29
In (0.2500, 0.8750, 0.6250)  8 Ho 3.26-3.29
In (0.3750, 0.1250, 0.2500)  8 Ho 3.26-3.29
In (0.3750, 0.7500, 0.1250)  8 Ho 3.26-3.29
In (0.6250, 0.2500, 0.8750)  8 Ho 3.26-3.29
In (0.6250, 0.8750, 0.7500)  8 Ho 3.26-3.29
In (0.7500, 0.1250, 0.3750)  8 Ho 3.26-3.29
In (0.7500, 0.6250, 0.8750)  8 Ho 3.26-3.29
In (0.8750, 0.6250, 0.2500)  8 Ho 3.26-3.29
In (0.8750, 0.7500, 0.6250)  8 Ho 3.26-3.29
Ru (0.0000, 0.0000, 0.0000)  6 Ho 2.71
Ru (0.0000, 0.0000, 0.5000)  6 Ho 2.71
Ru (0.0000, 0.5000, 0.0000)  6 Ho 2.71
Ru (0.0000, 0.5000, 0.5000)  6 Ho 2.71
Ru (0.1250, 0.7500, 0.8750)  4 Ho 2.56
Ru (0.1250, 0.8750, 0.2500)  4 Ho 2.56
Ru (0.2500, 0.1250, 0.8750)  4 Ho 2.56
Ru (0.2500, 0.6250, 0.3750)  4 Ho 2.56
Ru (0.3750, 0.2500, 0.6250)  4 Ho 2.56
Ru (0.3750, 0.6250, 0.7500)  4 Ho 2.56
Ru (0.5000, 0.0000, 0.0000)  6 Ho 2.71
Ru (0.5000, 0.0000, 0.5000)  6 Ho 2.71
Ru (0.5000, 0.5000, 0.0000)  6 Ho 2.71
Ru (0.5000, 0.5000, 0.5000)  6 Ho 2.71
Ru (0.6250, 0.3750, 0.2500)  4 Ho 2.56
Ru (0.6250, 0.7500, 0.3750)  4 Ho 2.56
Ru (0.7500, 0.3750, 0.6250)  4 Ho 2.56
Ru (0.7500, 0.8750, 0.1250)  4 Ho 2.56
Ru (0.8750, 0.1250, 0.7500)  4 Ho 2.56
Ru (0.8750, 0.2500, 0.1250)  4 Ho 2.56

## Properties
The calculation puts the spin magnetization at 0.0 Bohr magnetons per cell. Its uncorrected energy is -434.33 eV for the cell shown.

Below is crystalline Ho4In3Ru at its relaxed geometry, with properties calculated at the PBE level.

a = 3.5143 Å, b = 3.5143 Å, c = 15.8660 Å
α = 90.00°, β = 90.00°, γ = 90.00°
With the nearest neighbours (Å) after each atom.
Sites, in units of the cell vectors:
Ho (0.0000, 0.0000, 0.1017)  4 Ru 2.96, 1 Ho 3.23, 4 In 3.29
Ho (0.0000, 0.0000, 0.3678)  8 In 3.23-3.25, 4 Ho 3.51
Ho (0.0000, 0.0000, 0.6322)  8 In 3.23-3.25, 4 Ho 3.51
Ho (0.0000, 0.0000, 0.8983)  4 Ru 2.96, 1 Ho 3.23, 4 In 3.29
In (0.5000, 0.5000, 0.2376)  8 Ho 3.23-3.29, 4 In 3.51
In (0.5000, 0.5000, 0.5000)  8 Ho 3.25, 4 In 3.51
In (0.5000, 0.5000, 0.7624)  8 Ho 3.23-3.29, 4 In 3.51
Ru (0.5000, 0.5000, 0.0000)  8 Ho 2.96

## Properties
The calculation puts the spin magnetization at 0.0 Bohr magnetons per cell. Its uncorrected energy is -39.60 eV for the cell shown.

Below is crystalline HoInRu at its relaxed geometry, with properties calculated at the PBE level.

a = 4.6308 Å, b = 4.6308 Å, c = 3.5034 Å
α = 90.00°, β = 90.00°, γ = 120.00°
With the nearest neighbours (Å) after each atom.
Sites, in units of the cell vectors:
Ho (0.0000, 0.0000, 0.0000)  6 In 3.20, 6 Ru 3.20, 2 Ho 3.50
In (0.3333, 0.6667, 0.5000)  3 Ru 2.67
Ru (0.6667, 0.3333, 0.5000)  3 In 2.67

## Properties
The calculation puts the spin magnetization at 0.0 Bohr magnetons per cell. Its uncorrected energy is -17.17 eV for the cell shown.

Below is crystalline Ho7InRu2 at its relaxed geometry, with properties calculated at the PBE level.

a = 8.0645 Å, b = 8.0645 Å, c = 5.2063 Å
α = 90.00°, β = 90.00°, γ = 113.73°
With the nearest neighbours (Å) after each atom.
Sites, in units of the cell vectors:
Ho (0.0000, 0.0000, 0.0000)  2 Ru 2.69
Ho (0.1828, 0.4467, 0.0000)  2 Ru 2.81-2.92
Ho (0.2206, 0.7794, 0.5000)  2 Ru 2.62
Ho (0.4467, 0.1828, 0.0000)  2 Ru 2.81-2.92
Ho (0.5533, 0.8172, 0.0000)  2 Ru 2.81-2.92
Ho (0.7794, 0.2206, 0.5000)  2 Ru 2.62
Ho (0.8172, 0.5533, 0.0000)  2 Ru 2.81-2.92
In (0.5000, 0.5000, 0.5000)  10 Ho 3.55-3.77
Ru (0.1991, 0.8009, 0.0000)  7 Ho 2.62-2.92
Ru (0.8009, 0.1991, 0.0000)  7 Ho 2.62-2.92

## Properties
The calculation puts the spin magnetization at 0.0 Bohr magnetons per cell. Its uncorrected energy is -54.60 eV for the cell shown.

Below is crystalline HoIn3Ru at its relaxed geometry, with properties calculated at the PBE level.

a = 6.7058 Å, b = 6.7058 Å, c = 6.7058 Å
α = 68.96°, β = 68.96°, γ = 68.96°
With the nearest neighbours (Å) after each atom.
Sites, in units of the cell vectors:
Ho (0.0000, 0.0000, 0.0000)  1 Ru 2.65
Ho (0.5000, 0.5000, 0.5000)  1 Ru 2.65
In (0.0259, 0.4972, 0.3917)  2 Ru 2.64-2.74
In (0.3917, 0.0259, 0.4972)  2 Ru 2.64-2.74
In (0.4972, 0.3917, 0.0259)  2 Ru 2.64-2.74
In (0.5259, 0.8917, 0.9972)  2 Ru 2.64-2.74
In (0.8917, 0.9972, 0.5259)  2 Ru 2.64-2.74
In (0.9972, 0.5259, 0.8917)  2 Ru 2.64-2.74
Ru (0.1742, 0.1742, 0.1742)  6 In 2.64-2.74, 1 Ho 2.65
Ru (0.6742, 0.6742, 0.6742)  6 In 2.64-2.74, 1 Ho 2.65

## Properties
The calculation puts the spin magnetization at 0.0 Bohr magnetons per cell. Its uncorrected energy is -44.37 eV for the cell shown. For the energy above the lowest structure with this stoichiometry, the calculation gives 280 meV/atom.

Below is crystalline Ho6InRu at its relaxed geometry, with properties calculated at the PBE level.

a = 6.4164 Å, b = 6.4164 Å, c = 6.2955 Å
α = 99.52°, β = 99.52°, γ = 102.64°
With the nearest neighbours (Å) after each atom.
Sites, in units of the cell vectors:
Ho (0.0788, 0.7003, 0.7082)  1 Ru 2.63
Ho (0.2834, 0.2834, 0.8658)  1 Ru 2.63
Ho (0.2997, 0.9212, 0.2918)  1 Ru 2.63
Ho (0.7003, 0.0788, 0.7082)  1 Ru 2.63
Ho (0.7166, 0.7166, 0.1342)  1 Ru 2.63
Ho (0.9212, 0.2997, 0.2918)  1 Ru 2.63
In (0.5000, 0.5000, 0.5000)  10 Ho 3.23-3.59
Ru (0.0000, 0.0000, 0.0000)  6 Ho 2.63

## Properties
The calculation puts the spin magnetization at 0.0 Bohr magnetons per cell. Its uncorrected energy is -39.93 eV for the cell shown.

Below is crystalline Ho8In2Ru at its relaxed geometry, with properties calculated at the PBE level.

a = 9.0499 Å, b = 9.0499 Å, c = 6.9506 Å
α = 111.57°, β = 111.57°, γ = 34.99°
With the nearest neighbours (Å) after each atom.
Sites, in units of the cell vectors:
Ho (0.0084, 0.0084, 0.2675)  2 Ru 3.20, 1 In 3.27, 7 Ho 3.32-3.57
Ho (0.1930, 0.1930, 0.7362)  3 In 3.22-3.37, 8 Ho 3.38-3.57
Ho (0.3617, 0.3617, 0.5941)  1 Ru 2.71
Ho (0.3919, 0.3919, 0.0977)  1 Ru 2.70
Ho (0.6081, 0.6081, 0.9023)  1 Ru 2.70
Ho (0.6383, 0.6383, 0.4059)  1 Ru 2.71
Ho (0.8070, 0.8070, 0.2638)  3 In 3.22-3.37, 8 Ho 3.38-3.57
Ho (0.9916, 0.9916, 0.7325)  2 Ru 3.20, 1 In 3.27, 7 Ho 3.32-3.57
In (0.1838, 0.1838, 0.1899)  10 Ho 3.22-3.60
In (0.8162, 0.8162, 0.8101)  10 Ho 3.22-3.60
Ru (0.5000, 0.5000, 0.5000)  4 Ho 2.70-2.71

## Properties
The calculation puts the spin magnetization at 0.0 Bohr magnetons per cell. Its uncorrected energy is -54.41 eV for the cell shown.

Below is crystalline HoInRu at its relaxed geometry, with properties calculated at the PBE level.

a = 4.6991 Å, b = 4.6991 Å, c = 6.3702 Å
α = 90.00°, β = 90.00°, γ = 90.00°
With the nearest neighbours (Å) after each atom.
Sites, in units of the cell vectors:
Ho (0.0000, 0.5000, 0.0000)  4 Ru 2.84
Ho (0.5000, 0.0000, 0.5000)  4 Ru 2.84
In (0.0000, 0.5000, 0.5000)  4 Ru 2.84
In (0.5000, 0.0000, 0.0000)  4 Ru 2.84
Ru (0.0000, 0.0000, 0.2500)  4 In 2.84, 4 Ho 2.84
Ru (0.0000, 0.0000, 0.7500)  4 In 2.84, 4 Ho 2.84

## Properties
The calculation puts the spin magnetization at 0.0 Bohr magnetons per cell. Its uncorrected energy is -34.59 eV for the cell shown.

| no. | energy of formation (meV per atom) |
| --- | --- |
| 1 | -418 |
| 2 | 47 |
| 3 | -474 |
| 4 | -191 |
| 5 | -126 |
| 6 | -24 |
| 7 | -56 |
| 8 | -276 |
| 9 | -235 |